Density functional theory data (PBE) for AcPr4Tl6 after structural relaxation.

Unit cell a=8.9044 b=8.9044 c=10.7028 alpha=90.00 beta=90.00 gamma=90.00
Closest atoms and distances in Å follow each position.
Space group I-42m (No. 121)
Symmetry-distinct sites (fractional):
Ac  0.0000  0.0000  0.0000 [2 per cell]  4 Tl 3.47
Pr  0.1915  0.1915  0.5792 [8 per cell]  6 Tl 3.12-3.34
Tl  0.0000  0.5000  0.0000 [4 per cell]  4 Pr 3.34
Tl  0.1326  0.1326  0.2840 [8 per cell]  4 Pr 3.12-3.28, 1 Tl 3.34, 1 Ac 3.47

Computed properties:
uncorrected energy = -3.363 eV/atom
calculated formation energy = 0.039 eV/atom

***

Density functional theory data (PBE) for AcPr2Tl after structural relaxation.

Unit cell a=3.8509 b=4.8295 c=7.4618 alpha=89.95 beta=89.99 gamma=89.87
Closest atoms and distances in Å follow each position.
Space group P1 (No. 1)
Symmetry-distinct sites (fractional):
Ac  0.0000  0.0000  0.0000 [1 per cell]  5 Pr 3.47-3.74, 4 Tl 3.59, 2 Ac 3.85
Pr  0.0003  0.9998  0.4656 [1 per cell]  1 Ac 3.47, 4 Tl 3.50, 6 Pr 3.62-3.85
Pr  0.5002  0.5000  0.7193 [1 per cell]  2 Tl 3.54-3.92, 6 Pr 3.62-3.85, 4 Ac 3.73-3.74
Tl  0.5001  0.5000  0.2451 [1 per cell]  5 Pr 3.50-3.54, 4 Ac 3.59, 2 Tl 3.85

Computed properties:
uncorrected energy = -4.153 eV/atom
calculated formation energy = -0.144 eV/atom
excess energy over the best structure of this formula in the dataset = 0.037 eV/atom

***

Density functional theory data (PBE) for Ac2PrTl4 after structural relaxation.

Unit cell a=6.4401 b=6.6026 c=11.1114 alpha=90.00 beta=103.85 gamma=90.00
Closest atoms and distances in Å follow each position.
Space group P2_1/m (No. 11)
Symmetry-distinct sites (fractional):
Ac  0.1284  0.2500  0.4169 [2 per cell]  9 Tl 3.46-3.79
Ac  0.3419  0.7500  0.9913 [2 per cell]  6 Tl 3.35-3.66, 1 Pr 3.65
Pr  0.0254  0.2500  0.8049 [2 per cell]  4 Tl 3.18-3.34
Tl  0.1916  0.2500  0.1138 [2 per cell]  2 Tl 3.28, 1 Pr 3.34, 3 Ac 3.35-3.49
Tl  0.3130  0.7500  0.4561 [2 per cell]  1 Pr 3.18, 4 Tl 3.25-3.34, 4 Ac 3.46-3.54
Tl  0.4068  0.0027  0.7147 [4 per cell]  5 Tl 3.25-3.34, 1 Pr 3.30, 1 Ac 3.61

Computed properties:
uncorrected energy = -3.514 eV/atom
calculated formation energy = -0.305 eV/atom
excess energy over the best structure of this formula in the dataset = 0.000 eV/atom

***

Density functional theory data (PBE) for AcPr3Tl2 after structural relaxation.

Unit cell a=17.5037 b=5.6154 c=9.5245 alpha=90.00 beta=117.82 gamma=90.00
Closest atoms and distances in Å follow each position.
Space group C2/m (No. 12)
Symmetry-distinct sites (fractional):
Ac  0.1276  0.0000  0.1783 [4 per cell]  5 Tl 3.48-3.71, 2 Pr 3.80
Pr  0.0623  0.0000  0.7127 [4 per cell]  3 Tl 3.46-3.51, 6 Pr 3.60-3.84
Pr  0.1191  0.5000  0.5394 [4 per cell]  4 Tl 3.16-3.52
Pr  0.1977  0.5000  0.9951 [4 per cell]  2 Tl 3.17-3.43, 2 Pr 3.33
Tl  0.0071  0.5000  0.1660 [4 per cell]  1 Tl 3.05, 2 Pr 3.16-3.17
Tl  0.2275  0.0000  0.6017 [4 per cell]  5 Pr 3.28-3.52, 1 Ac 3.57

Computed properties:
uncorrected energy = -4.056 eV/atom
calculated formation energy = -0.192 eV/atom
excess energy over the best structure of this formula in the dataset = 0.056 eV/atom

***

Density functional theory data (PBE) for Ac5PrTl4 after structural relaxation.

Unit cell a=3.9177 b=3.9177 c=23.7052 alpha=90.00 beta=90.00 gamma=90.00
Closest atoms and distances in Å follow each position.
Space group P4/mmm (No. 123)
Symmetry-distinct sites (fractional):
Ac  0.0000  0.0000  0.0000 [1 per cell]  8 Tl 3.60, 4 Ac 3.92
Ac  0.0000  0.0000  0.1937 [2 per cell]  8 Tl 3.59, 4 Ac 3.92
Ac  0.0000  0.0000  0.3860 [2 per cell]  4 Tl 3.59, 4 Pr 3.87, 4 Ac 3.92
Pr  0.5000  0.5000  0.5000 [1 per cell]  8 Ac 3.87, 4 Pr 3.92
Tl  0.5000  0.5000  0.0971 [2 per cell]  8 Ac 3.59-3.60, 4 Tl 3.92
Tl  0.5000  0.5000  0.2898 [2 per cell]  8 Ac 3.59, 4 Tl 3.92

Computed properties:
uncorrected energy = -3.747 eV/atom
calculated formation energy = -0.269 eV/atom

***

Density functional theory data (PBE) for AcPr2Tl after structural relaxation.

Unit cell a=5.1522 b=5.1522 c=5.1185 alpha=90.00 beta=90.00 gamma=90.00
Closest atoms and distances in Å follow each position.
Space group P4/mmm (No. 123)
Symmetry-distinct sites (fractional):
Ac  0.0000  0.0000  0.0000 [1 per cell]  8 Pr 3.63, 4 Tl 3.64
Pr  0.0000  0.5000  0.5000 [2 per cell]  4 Ac 3.63, 4 Tl 3.63, 4 Pr 3.64
Tl  0.5000  0.5000  0.0000 [1 per cell]  8 Pr 3.63, 4 Ac 3.64

Computed properties:
uncorrected energy = -4.177 eV/atom
calculated formation energy = -0.168 eV/atom
excess energy over the best structure of this formula in the dataset = 0.013 eV/atom

***

Density functional theory data (PBE) for Ac2PrTl2 after structural relaxation.

Unit cell a=5.0468 b=7.3459 c=9.9648 alpha=90.00 beta=90.00 gamma=90.00
Closest atoms and distances in Å follow each position.
Space group Immm (No. 71)
Symmetry-distinct sites (fractional):
Ac  0.0000  0.0000  0.1960 [4 per cell]  6 Tl 3.58-3.66, 1 Ac 3.91, 2 Pr 3.94
Pr  0.0000  0.5000  0.0000 [2 per cell]  4 Tl 3.26
Tl  0.0000  0.2803  0.5000 [4 per cell]  1 Tl 3.23, 2 Pr 3.26, 4 Ac 3.58

Computed properties:
uncorrected energy = -3.830 eV/atom
calculated formation energy = -0.285 eV/atom

***

Density functional theory data (PBE) for Ac4PrTl after structural relaxation.

Unit cell a=12.1471 b=12.1471 c=7.8563 alpha=90.00 beta=90.00 gamma=90.00
Closest atoms and distances in Å follow each position.
Space group I4_1md (No. 109)
Symmetry-distinct sites (fractional):
Ac  0.0000  0.2142  0.0000 [8 per cell]  2 Pr 3.26-3.47, 1 Tl 3.59
Ac  0.0000  0.2435  0.4926 [8 per cell]  2 Tl 3.17-3.27
Pr  0.0000  0.0000  0.7500 [4 per cell]  6 Ac 3.26-3.58, 1 Tl 3.41
Tl  0.0000  0.0000  0.3154 [4 per cell]  4 Ac 3.17-3.27, 1 Pr 3.41

Computed properties:
uncorrected energy = -3.591 eV/atom
calculated formation energy = 0.339 eV/atom
excess energy over the best structure of this formula in the dataset = 0.433 eV/atom

***

Density functional theory data (PBE) for Ac5Pr2Tl4 after structural relaxation.

Unit cell a=25.1196 b=3.8804 c=9.1272 alpha=90.00 beta=109.90 gamma=90.00
Closest atoms and distances in Å follow each position.
Space group C2/m (No. 12)
Symmetry-distinct sites (fractional):
Ac  0.0000  0.0000  0.0000 [2 per cell]  4 Tl 3.50, 6 Ac 3.88
Ac  0.1270  0.5000  0.9536 [4 per cell]  3 Tl 3.53-3.61, 3 Pr 3.54-3.77, 4 Ac 3.88
Ac  0.1687  0.5000  0.4251 [4 per cell]  3 Tl 3.62-3.67, 3 Pr 3.84-3.88, 2 Ac 3.88
Pr  0.2283  0.0000  0.8102 [4 per cell]  1 Tl 3.38, 3 Ac 3.54-3.77
Tl  0.0144  0.5000  0.3302 [4 per cell]  5 Tl 3.24-3.41, 3 Ac 3.50-3.61
Tl  0.0876  0.0000  0.6099 [4 per cell]  4 Tl 3.24-3.40, 1 Pr 3.38, 4 Ac 3.53-3.62

Computed properties:
uncorrected energy = -3.628 eV/atom
calculated formation energy = -0.031 eV/atom

***

Density functional theory data (PBE) for Ac2Pr3Tl2 after structural relaxation.

Unit cell a=12.7390 b=4.8612 c=8.8218 alpha=90.00 beta=109.45 gamma=90.00
Closest atoms and distances in Å follow each position.
Space group C2/m (No. 12)
Symmetry-distinct sites (fractional):
Ac  0.1413  0.0000  0.2885 [4 per cell]  4 Tl 3.53-3.81, 4 Pr 3.83-3.86
Pr  0.0000  0.5000  0.5000 [2 per cell]  4 Tl 3.28
Pr  0.1303  0.5000  0.9481 [4 per cell]  3 Tl 3.32-3.34
Tl  0.1565  0.0000  0.7063 [4 per cell]  5 Pr 3.28-3.34, 3 Ac 3.53-3.63

Computed properties:
uncorrected energy = -4.069 eV/atom
calculated formation energy = -0.170 eV/atom

***

Density functional theory data (PBE) for Ac6Pr3Tl after structural relaxation.

Unit cell a=10.4233 b=6.1675 c=13.5823 alpha=90.00 beta=111.31 gamma=90.00
Closest atoms and distances in Å follow each position.
Space group P2_1/m (No. 11)
Symmetry-distinct sites (fractional):
Ac  0.0374  0.2500  0.4292 [2 per cell]  7 Pr 3.67-3.87, 4 Ac 3.86-3.98
Ac  0.1715  0.7500  0.1584 [2 per cell]  1 Tl 3.49, 4 Pr 3.68-3.79, 2 Ac 3.88
Ac  0.2592  0.2500  0.0009 [2 per cell]  3 Tl 3.53-3.68, 1 Pr 3.59, 1 Ac 3.95
Ac  0.3462  0.2500  0.3274 [2 per cell]  4 Pr 3.79-3.95, 8 Ac 3.83-4.19
Ac  0.3512  0.7500  0.8063 [2 per cell]  3 Tl 3.57-3.65, 3 Pr 3.69-3.95, 1 Ac 3.95
Ac  0.4234  0.2500  0.6344 [2 per cell]  1 Tl 3.52, 3 Pr 3.79-3.94, 2 Ac 3.83
Pr  0.0275  0.7500  0.8586 [2 per cell]  9 Ac 3.68-4.09, 2 Pr 3.84
Pr  0.0986  0.2500  0.7180 [2 per cell]  8 Ac 3.59-3.95, 3 Pr 3.76-3.84
Pr  0.2685  0.7500  0.4731 [2 per cell]  1 Pr 3.76, 10 Ac 3.79-4.02
Tl  0.4612  0.7500  0.0876 [2 per cell]  8 Ac 3.49-3.68

Computed properties:
uncorrected energy = -4.170 eV/atom
calculated formation energy = -0.035 eV/atom

***

Density functional theory data (PBE) for AcPr5Tl6 after structural relaxation.

Unit cell a=5.6308 b=7.8875 c=8.8962 alpha=90.00 beta=108.12 gamma=90.00
Closest atoms and distances in Å follow each position.
Space group P2/m (No. 10)
Symmetry-distinct sites (fractional):
Ac  0.0000  0.0000  0.0000 [1 per cell]  8 Tl 3.47-3.51
Pr  0.0000  0.5000  0.0000 [1 per cell]  8 Tl 3.41-3.46
Pr  0.3327  0.0000  0.6649 [2 per cell]  8 Tl 3.41-3.48
Pr  0.3358  0.5000  0.6713 [2 per cell]  8 Tl 3.38-3.41
Tl  0.1698  0.2557  0.3403 [4 per cell]  7 Pr 3.40-3.46, 1 Ac 3.51
Tl  0.5000  0.2564  0.0000 [2 per cell]  6 Pr 3.38-3.48, 2 Ac 3.47

Computed properties:
uncorrected energy = -3.896 eV/atom
calculated formation energy = -0.379 eV/atom